A plane-wave DFT calculation with GGA-PBE was carried out for a geometry-optimized DyPu2H8 structure.

a b c (Å): 3.7575 5.0453 11.2540
angles (deg): 90.00 90.00 90.00
Space group Immm (No. 71)
Asymmetric unit:
Dy: 0.0000 0.0000 0.0000
Pu: 0.0000 0.0000 0.3207
H: 0.0000 0.2331 0.5000
H: 0.0000 0.2644 0.1530
H: 0.0000 0.5000 0.3246

Summary:
Electronic total energy, Ry/atom: -0.4373
ρ, Mg/m³: 10.251
Total magnetization, μB per formula unit: 10.81


A plane-wave DFT calculation with GGA-PBE was carried out for a geometry-optimized Th3Re3Si8 structure.

a b c (Å): 4.2460 10.0249 11.7717
angles (deg): 90.00 90.00 90.00
Space group Immm (No. 71)
Asymmetric unit:
Th: 0.0000 0.0000 0.0000
Th: 0.0000 0.0000 0.3178
Re: 0.0000 0.2235 0.5000
Re: 0.0000 0.5000 0.0000
Si: 0.0000 0.2840 0.1204
Si: 0.0000 0.3648 0.3324

Summary:
Electronic total energy, Ry/atom: -0.5696
ρ, Mg/m³: 9.806
Total magnetization, μB per formula unit: 0.00
Raw formation energy, eV per atom: -0.39


A plane-wave DFT calculation with GGA-PBE was carried out for a geometry-optimized Pr2CdC2 structure.

a b c (Å): 16.5199 4.1694 7.0613
angles (deg): 90.00 114.67 90.00
Space group C2/c (No. 15)
Asymmetric unit:
Pr: 0.1531 0.1703 0.0942
Cd: 0.0000 0.3918 0.2500
C: 0.2248 0.3661 0.5142

Summary:
Electronic total energy, Ry/atom: -0.4411
ρ, Mg/m³: 6.285
Formation energy from the elements, eV/atom: -0.218
Total magnetization, μB per formula unit: 0.00


A plane-wave DFT calculation with GGA-PBE was carried out for a geometry-optimized AlSCl structure.

a b c (Å): 6.4107 3.6597 7.7880
angles (deg): 90.00 91.12 90.00
Space group P2_1/m (No. 11)
Asymmetric unit:
Al: 0.0422 0.2500 0.1521
S: 0.1750 0.2500 0.8754
Cl: 0.2601 0.2500 0.3567

Summary:
Electronic total energy, Ry/atom: -0.3320
ρ, Mg/m³: 1.718
Total magnetization, μB per formula unit: 0.00
Raw formation energy, eV per atom: -1.28


A plane-wave DFT calculation with GGA-PBE was carried out for a geometry-optimized CeAsO4F structure.

a b c (Å): 9.3578 7.1946 6.8646
angles (deg): 90.00 107.36 90.00
Space group C2/m (No. 12)
Asymmetric unit:
Ce: 0.2157 0.0000 0.1327
As: 0.1504 0.5000 0.2822
O: 0.0367 0.5000 0.7456
O: 0.1960 0.3174 0.1474
O: 0.2440 0.0000 0.4694
F: 0.0240 0.0000 0.8319

Summary:
Electronic total energy, Ry/atom: -0.5143
ρ, Mg/m³: 4.488
Total magnetization, μB per formula unit: 0.00
Raw formation energy, eV per atom: -2.39


A plane-wave DFT calculation with GGA-PBE was carried out for a geometry-optimized PmScGa2O6 structure.

a b c (Å): 5.3926 5.3926 13.7636
angles (deg): 90.00 90.00 120.00
Space group R3 (No. 146, hexagonal axes)
Asymmetric unit:
Pm: 0.0000 0.0000 0.0000
Sc: 0.0000 0.0000 0.4781
Ga: 0.0000 0.0000 0.2617
Ga: 0.0000 0.0000 0.7681
O: 0.0094 0.3802 0.5273
O: 0.0202 0.5945 0.0323

Summary:
Electronic total energy, Ry/atom: -0.5361
ρ, Mg/m³: 6.114
Total magnetization, μB per formula unit: 0.00
Raw formation energy, eV per atom: -2.61


Question: What is the electronic total energy in the first record?
Answer: -0.4373 Ry/atom


Question: Which of these has the highest ρ?
Answer: DyPu2H8